VASP calculation (GGA-PBE) on Rb4CuP2 after structural relaxation.

## Properties
Energy relative to the elements ... -0.23 eV per atom
Symmetry ... No. 166
Calculated total energy ... -20.42 eV/cell
DOS at the Fermi energy ... 4.668 states/eV/cell

Geometry as POSCAR:
```
Rb4CuP2
1.0
5.578 0.000 1.806
2.497 4.988 1.806
-0.043 -0.027 9.651
Rb Cu P
4 1 2
Cartesian
3.006 1.857 9.750
1.666 1.029 4.374
6.367 3.933 8.889
5.026 3.105 3.513
0.000 0.000 0.000
0.617 0.381 7.611
7.415 4.581 5.652
```